1.
The following is a DFT calculation (PBE) of a relaxed structure of LiSm3Ag2.

a = 3.736 Å, b = 3.736 Å, c = 11.141 Å
α = 90.00°, β = 90.00°, γ = 90.00°
Fractional positions:
Li  0.000  0.000  0.000
Sm  0.500  0.500  0.172
Sm  0.500  0.500  0.500
Sm  0.500  0.500  0.828
Ag  0.000  0.000  0.331
Ag  0.000  0.000  0.669

Values from the calculation:
SG = P4/mmm (123)
Formation energy = -145.9 meV per atom
Relative energy among the computed polymorphs = 8.8 meV per atom

=====

2.
The following is a DFT calculation (PBE) of a relaxed structure of Ho5Er5Tm.

a = 9.760 Å, b = 9.760 Å, c = 6.846 Å
α = 110.39°, β = 110.39°, γ = 34.87°
Fractional positions:
Ho  0.000  0.000  0.000
Ho  0.322  0.322  0.067
Ho  0.322  0.322  0.576
Ho  0.678  0.678  0.424
Ho  0.678  0.678  0.933
Er  0.124  0.124  0.625
Er  0.169  0.169  0.170
Er  0.500  0.500  0.500
Er  0.831  0.831  0.830
Er  0.876  0.876  0.375
Tm  0.500  0.500  0.000

Values from the calculation:
SG = C2/m (12)
Formation energy = 292.1 meV per atom
Relative energy among the computed polymorphs = 140.5 meV per atom

=====

3.
The following is a DFT calculation (PBE) of a relaxed structure of CaZn2InSb.

a = 5.227 Å, b = 5.227 Å, c = 5.909 Å
α = 90.00°, β = 90.00°, γ = 90.00°
Fractional positions:
Ca  0.000  0.000  0.000
Zn  0.000  0.500  0.500
Zn  0.500  0.000  0.500
In  0.500  0.500  0.000
Sb  0.000  0.000  0.500

Values from the calculation:
SG = P4/mmm (123)
Raw formation energy = 191 meV per atom

=====

4.
The following is a DFT calculation (PBE) of a relaxed structure of Mg2SeCl.

a = 3.721 Å, b = 3.855 Å, c = 6.409 Å
α = 90.00°, β = 90.00°, γ = 90.00°
Fractional positions:
Mg  0.000  0.000  0.000
Mg  0.000  0.500  0.500
Se  0.500  0.000  0.500
Cl  0.500  0.500  0.000

Values from the calculation:
SG = Pmmm (47)
Relative energy among the computed polymorphs = 221.1 meV per atom
Raw formation energy = -795 meV per atom

=====

no.,magnetic moment (μB/f.u.),final energy (eV for the cell shown)
1,0.0,-22.649
2,1.0,-46.962
3,0.0,-10.454
4,0.0,-11.702